An optimized crystal structure of AlTc2Ru. Source: Alexandria, functional PBE.

abc: 6.1262 6.1262 6.1262
angles: 90.00 90.00 90.00
With the nearest neighbours (Å) after each atom.
Space group Fm-3m (No. 225)
Inequivalent atoms, fractional coordinates:
1 Al 0.0000 0.0000 0.0000  8 Tc 2.65
2 Tc 0.2500 0.2500 0.2500  4 Ru 2.65, 4 Al 2.65
3 Ru 0.0000 0.0000 0.5000  8 Tc 2.65

E above lowest polymorph	275	meV/atom
calculated total energy	-134.595	eV/cell
calculated formation energy	25	meV per atom

An optimized crystal structure of InCo2Se. Source: Alexandria, functional PBE.

abc: 3.6891 3.6891 9.0976
angles: 90.00 90.00 90.00
With the nearest neighbours (Å) after each atom.
Space group I-4m2 (No. 119)
Inequivalent atoms, fractional coordinates:
1 In 0.0000 0.0000 0.0000  4 Co 2.61
2 Co 0.0000 0.0000 0.5000  4 In 2.61
3 Co 0.0000 0.5000 0.2500  4 Se 2.61
4 Se 0.0000 0.5000 0.7500  4 Co 2.61

E above lowest polymorph	283	meV/atom
calculated total energy	-37.850	eV/cell
formation energy (no corrections)	0.377	eV/atom

An optimized crystal structure of Ca2La2Pd. Source: Alexandria, functional PBE.

abc: 7.5685 7.5685 6.1624
angles: 90.00 90.00 90.00
With the nearest neighbours (Å) after each atom.
Space group P4/mbm (No. 127)
Inequivalent atoms, fractional coordinates:
1 Ca 0.1691 0.3309 0.0000  6 La 3.60-3.95, 5 Ca 3.62-3.98
2 La 0.1569 0.6569 0.5000  2 Pd 2.86
3 Pd 0.0000 0.0000 0.5000  4 La 2.86

E above lowest polymorph	0	meV/atom
calculated total energy	-39.261	eV/cell
calculated formation energy	-116	meV per atom

An optimized crystal structure of Be2HgW. Source: Alexandria, functional PBE.

abc: 9.2527 2.7480 4.4844
angles: 90.00 107.66 90.00
With the nearest neighbours (Å) after each atom.
Space group Cm (No. 8)
Inequivalent atoms, fractional coordinates:
1 Be 0.0000 0.0000 0.0000  4 Be 2.46-2.75, 3 W 2.51-2.63, 4 Hg 2.63-2.67
2 Be 0.2088 0.5000 0.3286  4 Be 2.46-2.75, 3 Hg 2.55-2.64, 4 W 2.58-2.72
3 Hg 0.4646 0.0000 0.4825  7 Be 2.55-2.67, 2 Hg 2.75
4 W 0.2458 0.0000 0.8714  7 Be 2.51-2.72, 2 W 2.75

calculated total energy	-37.682	eV/cell
calculated formation energy	467	meV per atom

Summary of DOS at the Fermi energy in states/eV per atom
1.33, 1.68, 1.42, 0.15
(order as listed above)